# 1
# PBE Cr2CdW, relaxed
data_Cr2CdW
_symmetry_space_group_name_H-M 'C 1 m 1'
_symmetry_Int_Tables_number 8
_symmetry_space_group_name_Hall 'C -2y'
_cell_length_a 9.903
_cell_length_b 3.000
_cell_length_c 4.427
_cell_angle_alpha 90.00
_cell_angle_beta 116.44
_cell_angle_gamma 90.00
loop_
_atom_site_label
_atom_site_type_symbol
_atom_site_fract_x
_atom_site_fract_y
_atom_site_fract_z
Cr1 Cr 0.000 0.000 0.000
Cr2 Cr 0.204 0.500 0.205
Cd1 Cd 0.470 0.000 0.470
W1 W 0.250 0.000 0.750
# Total moment   0.000 μB per atom
# ΔH_f (0 K)   0.51 eV per atom
# DOS(E_F)   2.18 states/eV/f.u.
# Energy   -7.767 eV/atom


# 2
# PBE LiNi2Rh, relaxed
data_LiNi2Rh
_symmetry_space_group_name_H-M 'C 1 m 1'
_symmetry_Int_Tables_number 8
_symmetry_space_group_name_Hall 'C -2y'
_cell_length_a 8.616
_cell_length_b 2.594
_cell_length_c 4.422
_cell_angle_alpha 90.00
_cell_angle_beta 101.02
_cell_angle_gamma 90.00
loop_
_atom_site_label
_atom_site_type_symbol
_atom_site_fract_x
_atom_site_fract_y
_atom_site_fract_z
Li1 Li 0.000 0.000 0.000
Ni1 Ni 0.009 0.500 0.507
Ni2 Ni 0.244 0.000 0.780
Rh1 Rh 0.263 0.500 0.290
# Total moment   0.327 μB per atom
# ΔH_f (0 K)   -0.03 eV per atom
# DOS(E_F)   5.13 states/eV/f.u.
# Energy   -5.235 eV/atom


# 3
# PBE AlCrAg3, relaxed
data_AlCrAg3
_symmetry_space_group_name_H-M 'P m -3 m'
_symmetry_Int_Tables_number 221
_symmetry_space_group_name_Hall '-P 4 2 3'
_cell_length_a 5.013
_cell_length_b 5.013
_cell_length_c 5.013
_cell_angle_alpha 90.00
_cell_angle_beta 90.00
_cell_angle_gamma 90.00
loop_
_atom_site_label
_atom_site_type_symbol
_atom_site_fract_x
_atom_site_fract_y
_atom_site_fract_z
Al1 Al 0.000 0.000 0.000
Cr1 Cr 0.500 0.500 0.500
Ag1 Ag 0.000 0.500 0.500
# Relative energy among the computed polymorphs   358 meV/atom
# Total moment   0.923 μB per atom
# ΔH_f (0 K)   1.09 eV per atom
# DOS(E_F)   2.39 states/eV/f.u.
# Energy   -3.298 eV/atom


# 4
# PBE GdBN, relaxed
data_GdBN
_symmetry_space_group_name_H-M 'I 4 m m'
_symmetry_Int_Tables_number 107
_symmetry_space_group_name_Hall 'I 4 -2'
_cell_length_a 3.767
_cell_length_b 3.767
_cell_length_c 6.357
_cell_angle_alpha 90.00
_cell_angle_beta 90.00
_cell_angle_gamma 90.00
loop_
_atom_site_label
_atom_site_type_symbol
_atom_site_fract_x
_atom_site_fract_y
_atom_site_fract_z
Gd1 Gd 0.000 0.000 0.000
B1 B 0.000 0.000 0.405
N1 N 0.000 0.000 0.614
# Total moment   2.311 μB per atom
# DOS(E_F)   1.38 states/eV/f.u.
# Formation energy without anion corrections   -705 meV per atom
# Energy   -10.400 eV/atom


# 5
# PBE BaSc3Sn, relaxed
data_BaSc3Sn
_symmetry_space_group_name_H-M 'P m -3 m'
_symmetry_Int_Tables_number 221
_symmetry_space_group_name_Hall '-P 4 2 3'
_cell_length_a 5.583
_cell_length_b 5.583
_cell_length_c 5.583
_cell_angle_alpha 90.00
_cell_angle_beta 90.00
_cell_angle_gamma 90.00
loop_
_atom_site_label
_atom_site_type_symbol
_atom_site_fract_x
_atom_site_fract_y
_atom_site_fract_z
Ba1 Ba 0.000 0.000 0.000
Sc1 Sc 0.000 0.500 0.500
Sn1 Sn 0.500 0.500 0.500
# Relative energy among the computed polymorphs   0 meV/atom
# Total moment   0.400 μB per atom
# ΔH_f (0 K)   0.22 eV per atom
# DOS(E_F)   13.27 states/eV/f.u.
# Energy   -4.768 eV/atom


# 6
# PBE Er2HgRh, relaxed
data_Er2HgRh
_symmetry_space_group_name_H-M 'P 4/m m m'
_symmetry_Int_Tables_number 123
_symmetry_space_group_name_Hall '-P 4 2'
_cell_length_a 3.470
_cell_length_b 3.470
_cell_length_c 7.440
_cell_angle_alpha 90.00
_cell_angle_beta 90.00
_cell_angle_gamma 90.00
loop_
_atom_site_label
_atom_site_type_symbol
_atom_site_fract_x
_atom_site_fract_y
_atom_site_fract_z
Er1 Er 0.000 0.000 0.220
Hg1 Hg 0.500 0.500 0.500
Rh1 Rh 0.500 0.500 0.000
# Relative energy among the computed polymorphs   0 meV/atom
# Total moment   0.000 μB per atom
# ΔH_f (0 K)   -0.73 eV per atom
# DOS(E_F)   2.55 states/eV/f.u.
# Energy   -4.920 eV/atom


# 7
# PBE CdCu2P2, relaxed
data_CdCu2P2
_symmetry_space_group_name_H-M 'I 4/m m m'
_symmetry_Int_Tables_number 139
_symmetry_space_group_name_Hall '-I 4 2'
_cell_length_a 3.673
_cell_length_b 3.673
_cell_length_c 11.603
_cell_angle_alpha 90.00
_cell_angle_beta 90.00
_cell_angle_gamma 90.00
loop_
_atom_site_label
_atom_site_type_symbol
_atom_site_fract_x
_atom_site_fract_y
_atom_site_fract_z
Cd1 Cd 0.000 0.000 0.000
Cu1 Cu 0.000 0.000 0.392
P1 P 0.000 0.500 0.250
# Total moment   0.000 μB per atom
# ΔH_f (0 K)   0.20 eV per atom
# DOS(E_F)   1.50 states/eV/f.u.
# Energy   -3.789 eV/atom


# 8
# PBE TiV, relaxed
data_TiV
_symmetry_space_group_name_H-M 'P 4/n m m'
_symmetry_Int_Tables_number 129
_cell_length_a 3.076
_cell_length_b 3.076
_cell_length_c 6.482
_cell_angle_alpha 90.00
_cell_angle_beta 90.00
_cell_angle_gamma 90.00
loop_
_symmetry_equiv_pos_as_xyz
'x,y,z'
'-x,-y,-z'
'-y+1/2,x,z'
'y+1/2,-x,-z'
'-x+1/2,-y+1/2,z'
'x+1/2,y+1/2,-z'
'y,-x+1/2,z'
'-y,x+1/2,-z'
'x+1/2,-y,-z'
'-x+1/2,y,z'
'-y,-x,-z'
'y,x,z'
'-x,y+1/2,-z'
'x,-y+1/2,z'
'y+1/2,x+1/2,-z'
'-y+1/2,-x+1/2,z'
loop_
_atom_site_label
_atom_site_type_symbol
_atom_site_fract_x
_atom_site_fract_y
_atom_site_fract_z
Ti1 Ti 0.250 0.250 0.144
V1 V 0.250 0.250 0.598
# Total moment   0.000 μB per atom
# ΔH_f (0 K)   0.04 eV per atom
# DOS(E_F)   3.12 states/eV/f.u.
# Energy   -8.463 eV/atom


# 9
# PBE SmPbIO6, relaxed
data_SmPbIO6
_symmetry_space_group_name_H-M 'P -3 1 c'
_symmetry_Int_Tables_number 163
_symmetry_space_group_name_Hall '-P 3 2c'
_cell_length_a 5.8016
_cell_length_b 5.8016
_cell_length_c 10.0455
_cell_angle_alpha 90.00
_cell_angle_beta 90.00
_cell_angle_gamma 120.00
loop_
_atom_site_label
_atom_site_type_symbol
_atom_site_fract_x
_atom_site_fract_y
_atom_site_fract_z
Sm1 Sm 0.3333 0.6667 0.2500
Pb1 Pb 0.0000 0.0000 0.0000
I1 I 0.3333 0.6667 0.7500
O1 O 0.0554 0.4005 0.6423
# Total moment   0.000 μB per atom
# DOS(E_F)   0.00 states/eV/f.u.
# Formation energy without anion corrections   -1393 meV per atom
# Energy   -5.808 eV/atom


# 10
# PBE Cs3KPb2I9, relaxed
data_Cs3KPb2I9
_symmetry_space_group_name_H-M 'P -3 m 1'
_symmetry_Int_Tables_number 164
_symmetry_space_group_name_Hall '-P 3 2"'
_cell_length_a 9.0529
_cell_length_b 9.0529
_cell_length_c 11.2082
_cell_angle_alpha 90.00
_cell_angle_beta 90.00
_cell_angle_gamma 120.00
loop_
_atom_site_label
_atom_site_type_symbol
_atom_site_fract_x
_atom_site_fract_y
_atom_site_fract_z
Cs1 Cs 0.0000 0.0000 0.0000
Cs2 Cs 0.3333 0.6667 0.6688
K1 K 0.0000 0.0000 0.5000
Pb1 Pb 0.3333 0.6667 0.1643
I1 I 0.0000 0.5000 0.0000
I2 I 0.1724 0.3448 0.3205
# Total moment   0.000 μB per atom
# DOS(E_F)   6.64 states/eV/f.u.
# Formation energy without anion corrections   -1019 meV per atom
# Energy   -2.687 eV/atom


# 11
# PBE Hf4SnO, relaxed
data_Hf4SnO
_symmetry_space_group_name_H-M 'C 1 2/c 1'
_symmetry_Int_Tables_number 15
_symmetry_space_group_name_Hall '-C 2yc'
_cell_length_a 7.550
_cell_length_b 13.804
_cell_length_c 5.541
_cell_angle_alpha 90.00
_cell_angle_beta 120.05
_cell_angle_gamma 90.00
loop_
_atom_site_label
_atom_site_type_symbol
_atom_site_fract_x
_atom_site_fract_y
_atom_site_fract_z
Hf1 Hf 0.099 0.218 0.070
Hf2 Hf 0.235 0.416 0.363
Sn1 Sn 0.000 0.400 0.750
O1 O 0.000 0.106 0.250
# Total moment   0.000 μB per atom
# DOS(E_F)   4.35 states/eV/f.u.
# Formation energy without anion corrections   -739 meV per atom
# Energy   -8.868 eV/atom


# 12
# PBE CdMoRu2, relaxed
data_CdMoRu2
_symmetry_space_group_name_H-M 'I -4 2 d'
_symmetry_Int_Tables_number 122
_symmetry_space_group_name_Hall 'I -4 2bw'
_cell_length_a 7.111
_cell_length_b 7.111
_cell_length_c 5.650
_cell_angle_alpha 90.00
_cell_angle_beta 90.00
_cell_angle_gamma 90.00
loop_
_atom_site_label
_atom_site_type_symbol
_atom_site_fract_x
_atom_site_fract_y
_atom_site_fract_z
Cd1 Cd 0.000 0.000 0.000
Mo1 Mo 0.000 0.000 0.500
Ru1 Ru 0.204 0.250 0.625
# Total moment   0.000 μB per atom
# ΔH_f (0 K)   0.62 eV per atom
# DOS(E_F)   1.03 states/eV/f.u.
# Energy   -6.950 eV/atom